(1)
Entry from Alexandria via LeMat-Bulk: crystalline Ba3NaLa2S6 at its relaxed geometry (PBE).

Total moment   0.0 μB per cell
Calculated density   4.29 g cm⁻³
ΔE_f (raw)   -2302 kJ/mol of formula units

a b c (Å): 7.5163 13.0172 7.5884
angles (deg): 90.00 109.18 90.00
Space group C2/m (No. 12)
Symmetry-distinct sites (fractional):
Ba  0.0000  0.0000  0.0000 [2 per cell]
Ba  0.0000  0.3373  0.0000 [4 per cell]
Na  0.0000  0.5000  0.5000 [2 per cell]
La  0.0000  0.1674  0.5000 [4 per cell]
S  0.2307  0.0000  0.7227 [4 per cell]
S  0.2482  0.3277  0.7269 [8 per cell]


(2)
Entry from Alexandria via LeMat-Bulk: crystalline MgSb2Pb at its relaxed geometry (PBE).

Total moment   0.0 μB per cell
Calculated density   7.22 g cm⁻³
ΔE_f (raw)   -15 kJ/mol of formula units

a b c (Å): 3.3368 3.9722 8.2457
angles (deg): 90.00 92.28 90.00
Space group P2/m (No. 10)
Symmetry-distinct sites (fractional):
Mg  0.0000  0.0000  0.0000 [1 per cell]
Sb  0.4634  0.5000  0.7822 [2 per cell]
Pb  0.0000  0.0000  0.5000 [1 per cell]


(3)
Entry from Alexandria via LeMat-Bulk: crystalline HoAg2SnSe4 at its relaxed geometry (PBE).

Total moment   0.0 μB per cell
Calculated density   7.06 g cm⁻³
ΔE_f (raw)   -551 kJ/mol of formula units

a b c (Å): 6.9202 4.1139 7.1713
angles (deg): 90.00 110.01 90.00
Space group P2/m (No. 10)
Symmetry-distinct sites (fractional):
Ho  0.0000  0.0000  0.0000 [1 per cell]
Ag  0.5000  0.0000  0.5000 [1 per cell]
Ag  0.5000  0.5000  0.0000 [1 per cell]
Sn  0.0000  0.5000  0.5000 [1 per cell]
Se  0.2469  0.5000  0.2484 [2 per cell]
Se  0.2545  0.0000  0.7533 [2 per cell]


(4)
Entry from Alexandria via LeMat-Bulk: crystalline NaTiO2 at its relaxed geometry (PBE).

Total moment   0.0 μB per cell
Calculated density   3.91 g cm⁻³
ΔE_f (raw)   -927 kJ/mol of formula units

a b c (Å): 2.9792 2.9792 17.0309
angles (deg): 90.00 90.00 120.00
Space group R3m (No. 160, hexagonal axes)
Symmetry-distinct sites (fractional):
Na  0.0000  0.0000  0.0000 [3 per cell]
Ti  0.0000  0.0000  0.1703 [3 per cell]
O  0.0000  0.0000  0.5724 [3 per cell]
O  0.0000  0.0000  0.7681 [3 per cell]


(5)
Entry from Alexandria via LeMat-Bulk: crystalline Na2HfPaS4 at its relaxed geometry (PBE).

Total moment   1.3 μB per cell
Calculated density   5.74 g cm⁻³
ΔE_f (raw)   -1115 kJ/mol of formula units

a b c (Å): 6.5220 3.7467 7.2302
angles (deg): 90.00 107.17 90.00
Space group P2/m (No. 10)
Symmetry-distinct sites (fractional):
Na  0.0000  0.0000  0.0000 [1 per cell]
Na  0.5000  0.5000  0.0000 [1 per cell]
Hf  0.0000  0.5000  0.5000 [1 per cell]
Pa  0.5000  0.0000  0.5000 [1 per cell]
S  0.2273  0.0000  0.7227 [2 per cell]
S  0.2403  0.5000  0.2655 [2 per cell]


(6)
Entry from Alexandria via LeMat-Bulk: crystalline Zn5AgAu at its relaxed geometry (PBE).

Total moment   0.0 μB per cell
Energy of formation from the pure elements   -74 meV per atom
Calculated density   8.98 g cm⁻³

a b c (Å): 8.1664 8.3617 6.8424
angles (deg): 90.00 90.00 90.00
Space group Imma (No. 74)
Symmetry-distinct sites (fractional):
Zn  0.0000  0.2500  0.1979 [4 per cell]
Zn  0.2166  0.2500  0.4898 [8 per cell]
Zn  0.2500  0.0076  0.7500 [8 per cell]
Ag  0.0000  0.2500  0.8117 [4 per cell]
Au  0.0000  0.0000  0.5000 [4 per cell]


(7)
Entry from Alexandria via LeMat-Bulk: crystalline SrAl3Zn at its relaxed geometry (PBE).

Total moment   0.0 μB per cell
Energy of formation from the pure elements   -275 meV per atom
Calculated density   3.64 g cm⁻³

a b c (Å): 6.0839 11.5846 6.0546
angles (deg): 90.00 90.00 90.00
Space group Cmcm (No. 63)
Symmetry-distinct sites (fractional):
Sr  0.0000  0.2484  0.2500 [4 per cell]
Al  0.0000  0.1384  0.7500 [4 per cell]
Al  0.2428  0.5000  0.0000 [8 per cell]
Zn  0.0000  0.3613  0.7500 [4 per cell]


(8)
Entry from Alexandria via LeMat-Bulk: crystalline AlSnSeN2 at its relaxed geometry (PBE).

Total moment   0.4 μB per cell
Calculated density   5.18 g cm⁻³
ΔE_f (raw)   279 kJ/mol of formula units

a b c (Å): 3.8583 3.8583 5.4361
angles (deg): 90.00 90.00 90.00
Space group P4/mmm (No. 123)
Symmetry-distinct sites (fractional):
Al  0.0000  0.0000  0.0000 [1 per cell]
Sn  0.5000  0.5000  0.5000 [1 per cell]
Se  0.0000  0.0000  0.5000 [1 per cell]
N  0.0000  0.5000  0.0000 [2 per cell]


(9)
Entry from Alexandria via LeMat-Bulk: crystalline Sr5Sb2AsI at its relaxed geometry (PBE).

Total moment   0.0 μB per cell
Calculated density   3.82 g cm⁻³
ΔE_f (raw)   -934 kJ/mol of formula units

a b c (Å): 5.6901 8.1877 16.4951
angles (deg): 90.00 90.00 90.00
Space group Immm (No. 71)
Symmetry-distinct sites (fractional):
Sr  0.0000  0.0000  0.0000 [2 per cell]
Sr  0.0000  0.2720  0.3505 [8 per cell]
Sb  0.0000  0.0000  0.2041 [4 per cell]
As  0.0000  0.5000  0.5000 [2 per cell]
I  0.0000  0.5000  0.0000 [2 per cell]


(10)
Entry from Alexandria via LeMat-Bulk: crystalline TiVPCl2 at its relaxed geometry (PBE).

Total moment   1.8 μB per cell
Calculated density   3.21 g cm⁻³
ΔE_f (raw)   33 kJ/mol of formula units

a b c (Å): 4.5732 4.5732 4.9675
angles (deg): 90.00 90.00 90.00
Space group P4/mmm (No. 123)
Symmetry-distinct sites (fractional):
Ti  0.0000  0.0000  0.0000 [1 per cell]
V  0.5000  0.5000  0.5000 [1 per cell]
P  0.5000  0.5000  0.0000 [1 per cell]
Cl  0.0000  0.5000  0.5000 [2 per cell]